Entry 1:
TlReTc2 (PBE-GGA, optimized geometry); energy relative to the elements = 0.733 eV per atom; N(E_F) = 1.2278 states/eV/atom; ΔE to the lowest computed polymorph = 336 meV per atom; total magnetic moment = 2.2 Bohr magnetons per cell; V = 16.337 Å³ per atom
1.0
5.7050 0.0000 0.0000
0.0000 7.8106 0.0000
0.0000 0.0000 2.9332
Tl Re Tc
2 2 4
direct
0.0000 0.0000 0.0000
0.5000 0.5000 0.0000
0.0000 0.5000 0.0000
0.5000 0.0000 0.0000
0.2500 0.2500 0.5000
0.2500 0.7500 0.5000
0.7500 0.2500 0.5000
0.7500 0.7500 0.5000

***

Entry 2:
TlRe2Tc (PBE-GGA, optimized geometry); energy relative to the elements = 0.823 eV per atom; N(E_F) = 1.3545 states/eV/atom; ΔE to the lowest computed polymorph = 333 meV per atom; total magnetic moment = 0.0 Bohr magnetons per cell; V = 16.322 Å³ per atom
1.0
4.0014 0.0000 0.0000
0.0000 4.0014 0.0000
0.0000 0.0000 8.1553
Tl Re Tc
2 4 2
direct
0.0000 0.0000 0.0000
0.5000 0.5000 0.5000
0.0000 0.0000 0.5000
0.0000 0.5000 0.7500
0.5000 0.0000 0.2500
0.5000 0.5000 0.0000
0.0000 0.5000 0.2500
0.5000 0.0000 0.7500

***

Entry 3:
ZrTlRe2Tc (PBE-GGA, optimized geometry); energy relative to the elements = 2.273 eV per atom; N(E_F) = 1.2420 states/eV/atom; total magnetic moment = 3.4 Bohr magnetons per cell; V = 23.066 Å³ per atom
1.0
4.8937 0.0000 0.0000
0.0000 4.8937 0.0000
0.0000 0.0000 4.8157
Zr Tl Re Tc
1 1 2 1
direct
0.0000 0.0000 0.0000
0.5000 0.5000 0.5000
0.0000 0.5000 0.0000
0.5000 0.0000 0.0000
0.0000 0.0000 0.5000

***

> Which value of energy relative to the elements does entry 1 give?

0.733 eV per atom

***

> Number 2 is which compound?

TlRe2Tc

***

> Number 3 is which compound?

ZrTlRe2Tc